Below is crystalline Li4CuNiSn2 at its relaxed geometry, with properties calculated at the PBE level.

* calculated volume: 118.2 Å³ per cell
* magnetization: 0.001 μB/cell
* E_tot: -27.6 eV/cell

a = 4.372 Å, b = 4.372 Å, c = 6.187 Å
α = 90.00°, β = 90.00°, γ = 90.00°
Fractional positions:
Li1 0.000 0.000 0.000
Li2 0.000 0.500 0.248
Li3 0.500 0.000 0.752
Li4 0.500 0.500 0.500
Cu1 0.000 0.000 0.500
Ni1 0.500 0.500 0.000
Sn1 0.000 0.500 0.761
Sn2 0.500 0.000 0.239